4
Lattice="-3.5184 -0.8199 -1.9990 -1.3762 -1.4825 -3.5994 -0.5950 -5.3223 1.4072" Properties=species:S:1:pos:R:3 comment="PBE CoMo2Cl, optimized geometry" n_ef_per_ev_cell=3.75 spacegroup="No. 12" final_energy_ev_per_atom=-7.062 e_above_lowest_polymorph_mev_per_atom=314 pbc="T T T"
Mo -4.8692 -2.3400 -5.5489
Mo -2.7701 -3.7748 -2.1451
Co -1.3724 -1.9062 -1.0478
Cl -4.1172 -5.7185 -3.1434